Mn2CrCoN | PBE | relaxed Values from VASP.

Space-group type: P4/mmm (123)
Calculated volume: 54.2 Å³ per cell
Energy relative to the elements, uncorrected: -0.128 eV/atom
Total moment: 2.850 Bohr magnetons per cell
Density of states at the Fermi level: 5.3 states/eV/cell

Structure (Quantum ESPRESSO input):
```
&SYSTEM
  ibrav = 0, nat = 5, ntyp = 4
/
ATOMIC_SPECIES
Mn 54.94 Mn.upf
Cr 52.00 Cr.upf
Co 58.93 Co.upf
N 14.01 N.upf
CELL_PARAMETERS angstrom
3.767 0.000 0.000
0.000 3.767 0.000
0.000 0.000 3.819
ATOMIC_POSITIONS crystal
Mn 0.000 0.500 0.000
Mn 0.500 0.000 0.000
Cr 0.000 0.000 0.500
Co 0.500 0.500 0.500
N 0.000 0.000 0.000
```